# ReSiMo | Alexandria | PBE-GGA | relaxed
# * ΔE_f (raw): 122.8 meV per atom
# * energy above the most stable polymorph in this dataset: 0.408 eV/atom
data_ReSiMo
_chemical_formula_sum 'Re4 Si4 Mo4'
_cell_length_a 5.9037
_cell_length_b 5.9037
_cell_length_c 5.9037
_cell_angle_alpha 90.00
_cell_angle_beta 90.00
_cell_angle_gamma 90.00
_symmetry_space_group_name_H-M 'F -4 3 m'
_symmetry_Int_Tables_number 216
_symmetry_space_group_name_Hall 'F -4 2 3'
loop_
_atom_site_label
_atom_site_fract_x
_atom_site_fract_y
_atom_site_fract_z
Re1 0.0000 0.0000 0.0000
Si1 0.2500 0.2500 0.2500
Mo1 0.2500 0.2500 0.7500